Entry 1:
A relaxed P2PtAuS crystal, computed with GGA-PBE.

## Properties
space-group type = P4/mmm (123)
total magnetization = 0.00 μB per cell
offset from the most stable computed form = 0 meV/atom

Cell: 4.5833 4.5833 5.0393 Å, 90.00 90.00 90.00°
Closest atoms and distances in Å follow each position.
Element x y z (fractional)
P: 0.0000 0.5000 0.0000  2 Pt 2.29
P: 0.5000 0.0000 0.0000  2 Pt 2.29
S: 0.0000 0.0000 0.5000  2 Pt 2.52
Au: 0.5000 0.5000 0.5000  4 S 3.24, 8 P 3.41
Pt: 0.0000 0.0000 0.0000  4 P 2.29, 2 S 2.52

=====

Entry 2:
A relaxed Sb2PPtAu crystal, computed with GGA-PBE.

## Properties
total DFT energy (no corrections) = -3.894 eV/atom
space-group type = P4/mmm (123)
total magnetization = 0.00 μB per cell

Cell: 5.1794 4.5206 5.1794 Å, 90.00 90.00 90.00°
Closest atoms and distances in Å follow each position.
Element x y z (fractional)
Sb: 0.0000 0.0000 0.5000  2 P 2.59
Sb: 0.5000 0.0000 0.0000  2 P 2.59
Au: 0.0000 0.5000 0.0000  2 P 2.26
Pt: 0.5000 0.5000 0.5000  8 Sb 3.44, 4 Au 3.66
P: 0.0000 0.0000 0.0000  2 Au 2.26

=====

Entry 3:
A relaxed SmP2Pt7Au2 crystal, computed with GGA-PBE.

## Properties
space-group type = C2/m (12)
total magnetization = 0.00 μB per cell
ΔH_f (0 K) = -0.447 eV per atom

Cell: 3.9819 3.9819 14.0174 Å, 85.39 85.39 90.00°
Closest atoms and distances in Å follow each position.
Element x y z (fractional)
Sm: 0.0000 0.0000 0.0000  12 Pt 2.82-3.02
P: 0.5679 0.5679 0.7441  5 Pt 2.21-2.38
P: 0.4321 0.4321 0.2559  5 Pt 2.21-2.38
Pt: 0.5000 0.5000 0.0000  4 Sm 2.82, 8 Pt 3.01-3.03
Pt: 0.3864 0.3864 0.4144  1 P 2.21
Pt: 0.6136 0.6136 0.5856  1 P 2.21
Pt: 0.9572 0.4556 0.1630  2 P 2.37-2.38
Pt: 0.4556 0.9572 0.1630  2 P 2.37-2.38
Pt: 0.5444 0.0428 0.8370  2 P 2.37-2.38
Pt: 0.0428 0.5444 0.8370  2 P 2.37-2.38
Au: 0.8881 0.8881 0.4099  5 Pt 2.76-2.82, 1 Au 2.95
Au: 0.1119 0.1119 0.5901  5 Pt 2.76-2.82, 1 Au 2.95

=====

Entry 4:
A relaxed Sm3P2Pt9Au crystal, computed with GGA-PBE.

## Properties
space-group type = P-3m1 (164)
total magnetization = 0.00 μB per cell
ΔH_f (0 K) = -0.743 eV per atom

Cell: 5.6891 5.6891 10.9388 Å, 90.00 90.00 120.00°
Closest atoms and distances in Å follow each position.
Element x y z (fractional)
Sm: 0.3333 0.6667 0.5909  6 Pt 3.08, 3 Au 3.43
Sm: 0.0000 0.0000 0.0000  6 Pt 2.84
Sm: 0.6667 0.3333 0.4091  6 Pt 3.08, 3 Au 3.43
P: 0.3333 0.6667 0.1576  6 Pt 2.30-2.38
P: 0.6667 0.3333 0.8424  6 Pt 2.30-2.38
Pt: 0.8367 0.1633 0.6982  1 P 2.30
Pt: 0.8367 0.6733 0.6982  1 P 2.30
Pt: 0.3267 0.1633 0.6982  1 P 2.30
Pt: 0.6733 0.8367 0.3018  1 P 2.30
Pt: 0.1633 0.3267 0.3018  1 P 2.30
Pt: 0.1633 0.8367 0.3018  1 P 2.30
Pt: 0.5000 0.0000 0.0000  2 P 2.38
Pt: 0.0000 0.5000 0.0000  2 P 2.38
Pt: 0.5000 0.5000 0.0000  2 P 2.38
Au: 0.0000 0.0000 0.5000  6 Pt 2.70